CoSbWO2 | PBE+U | relaxed

Calculated values
V   15.790 A^3/atom
Uncorrected energy   -4.8663 eV per atom
DOS(E_F)   3.41 states/eV per cell

a = 3.8843 Å, b = 3.8843 Å, c = 5.2325 Å
α = 90.00°, β = 90.00°, γ = 90.00°
Last column: nearest neighbours and their distance in Å.
Space group P4/mmm (No. 123)
Unique sites:
1 Co 0.0000 0.0000 0.0000 [1 per cell]  4 O 1.94
2 Sb 0.5000 0.5000 0.5000 [1 per cell]  4 W 2.75
3 W 0.0000 0.0000 0.5000 [1 per cell]  2 Co 2.62, 4 Sb 2.75
4 O 0.0000 0.5000 0.0000 [2 per cell]  2 Co 1.94